AgSn2Hg after structural relaxation. Source: the Alexandria database, functional PBE.

- density of states at the Fermi level (states/eV/atom) = 0.30
- formation energy (eV per atom) = 0.0539
- final energy (eV/atom) = -2.736
- mass density (Mg/m³) = 9.046

Unit cell a=3.2145 b=3.2145 c=33.5922 alpha=90.00 beta=90.00 gamma=120.00
Closest atoms and distances in Å follow each position.
Space group R-3m (No. 166, hexagonal axes)
Unique sites:
Ag 0.0000 0.0000 0.0000 (multiplicity 3)  6 Sn 3.08, 6 Ag 3.21
Sn 0.0000 0.0000 0.4067 (multiplicity 6)  3 Ag 3.08, 1 Hg 3.14, 6 Sn 3.21
Hg 0.0000 0.0000 0.5000 (multiplicity 3)  2 Sn 3.14, 6 Hg 3.21